BaPaInO5 | PBE | optimized geometry

a b c (Å): 6.4289 6.4289 8.2497
angles (deg): 104.19 104.19 106.92
Last column: nearest neighbours and their distance in Å.
Fractional coordinates of all 16 atoms:
Ba 0.1730 0.8270 0.7500  7 O 2.70-2.93
Ba 0.8270 0.1730 0.2500  7 O 2.70-2.93
Pa 0.5000 0.5000 0.0000  6 O 2.16-2.23
Pa 0.5000 0.5000 0.5000  6 O 2.16-2.23
In 0.1848 0.8152 0.2500  4 O 2.08
In 0.8152 0.1848 0.7500  4 O 2.08
O 0.1496 0.2531 0.9094  1 In 2.08, 1 Pa 2.16
O 0.2042 0.6067 0.4054  1 In 2.08, 1 Pa 2.23
O 0.2531 0.1496 0.4094  1 In 2.08, 1 Pa 2.16
O 0.3933 0.7958 0.0946  1 In 2.08, 1 Pa 2.23
O 0.4342 0.5658 0.7500  2 Pa 2.17
O 0.5658 0.4342 0.2500  2 Pa 2.17
O 0.6067 0.2042 0.9054  1 In 2.08, 1 Pa 2.23
O 0.7469 0.8504 0.5906  1 In 2.08, 1 Pa 2.16
O 0.7958 0.3933 0.5946  1 In 2.08, 1 Pa 2.23
O 0.8504 0.7469 0.0906  1 In 2.08, 1 Pa 2.16

## Properties
- magnetic moment (μB/f.u.) = 0.00
- energy relative to the elements, uncorrected (eV per formula unit) = -22.4
- calculated total energy (eV per atom) = -7.67
- space-group type = No. 15